Record 1
This record from the Alexandria database describes crystalline GePtPb at its relaxed geometry. The functional is GGA-PBE.

Output
D(E_F)	1.103	states/eV/f.u.
relative energy among the computed polymorphs	82.6	meV/atom
VASP energy	-4.987	eV per atom
energy of formation from the pure elements	-19.10	kJ/mol of atoms
total magnetization	0.000	μB/atom
crystal system	trigonal

Geometry as CIF:
```
data_GePtPb
_chemical_formula_sum 'Ge1 Pt1 Pb1'
_symmetry_space_group_name_H-M 'P 3 m 1'
_symmetry_Int_Tables_number 156
_cell_length_a 3.7308
_cell_length_b 3.7308
_cell_length_c 5.7505
_cell_angle_alpha 90.00
_cell_angle_beta 90.00
_cell_angle_gamma 120.00
loop_
_symmetry_equiv_pos_as_xyz
'x,y,z'
'-y,x-y,z'
'-x+y,-x,z'
'-y,-x,z'
'-x+y,y,z'
'x,x-y,z'
loop_
_atom_site_label
_atom_site_type_symbol
_atom_site_fract_x
_atom_site_fract_y
_atom_site_fract_z
Ge1 Ge 0.0000 0.0000 0.0000
Pt1 Pt 0.6667 0.3333 0.2139
Pb1 Pb 0.3333 0.6667 0.5635
```

***

Record 2
This record from the Alexandria database describes crystalline RuW2Au at its relaxed geometry. The functional is GGA-PBE.

Output
D(E_F)	3.223	states/eV/f.u.
relative energy among the computed polymorphs	62.4	meV/atom
VASP energy	-9.370	eV per atom
energy of formation from the pure elements	23.60	kJ/mol of atoms
total magnetization	0.000	μB/atom
crystal system	tetragonal

Geometry as CIF:
```
data_RuW2Au
_chemical_formula_sum 'Ru2 W4 Au2'
_symmetry_space_group_name_H-M 'I 4/m m m'
_symmetry_Int_Tables_number 139
_symmetry_space_group_name_Hall '-I 4 2'
_cell_length_a 3.919
_cell_length_b 3.919
_cell_length_c 8.170
_cell_angle_alpha 90.00
_cell_angle_beta 90.00
_cell_angle_gamma 90.00
loop_
_atom_site_label
_atom_site_type_symbol
_atom_site_fract_x
_atom_site_fract_y
_atom_site_fract_z
Ru1 Ru 0.000 0.000 0.000
W1 W 0.000 0.500 0.250
Au1 Au 0.000 0.000 0.500
```

***

Record 3
This record from the Alexandria database describes crystalline HIrOs at its relaxed geometry. The functional is GGA-PBE.

Output
D(E_F)	1.774	states/eV/f.u.
relative energy among the computed polymorphs	13.5	meV/atom
VASP energy	-7.557	eV per atom
total magnetization	0.000	μB/atom
crystal system	triclinic

Geometry as CIF:
```
data_HIrOs
_chemical_formula_sum 'H2 Ir2 Os2'
_symmetry_space_group_name_H-M 'P -1'
_symmetry_Int_Tables_number 2
_cell_length_a 2.772
_cell_length_b 4.917
_cell_length_c 5.106
_cell_angle_alpha 84.63
_cell_angle_beta 74.29
_cell_angle_gamma 73.64
loop_
_symmetry_equiv_pos_as_xyz
'x,y,z'
'-x,-y,-z'
loop_
_atom_site_label
_atom_site_type_symbol
_atom_site_fract_x
_atom_site_fract_y
_atom_site_fract_z
H1 H 0.148 0.297 0.408
Ir1 Ir 0.428 0.812 0.334
Os1 Os 0.201 0.711 0.887
```